# 1
First-principles (PBE) data for crystalline Tl3Cu2NiBr8 at its relaxed geometry, as listed in Alexandria.

Cell: 7.3540 7.3540 9.2297 Å, 90.00 90.00 120.00°
Each line ends with the local moment (μB).
Fractional coordinates of all 14 atoms:
Tl 0.3333 0.6667 0.6292  0.00
Tl 0.6667 0.3333 0.3708  0.00
Tl 0.0000 0.0000 0.0000  0.00
Cu 0.3333 0.6667 0.2220  -0.01
Cu 0.6667 0.3333 0.7780  -0.01
Ni 0.0000 0.0000 0.5000  0.81
Br 0.3333 0.6667 0.9712  0.01
Br 0.6667 0.3333 0.0288  0.01
Br 0.1577 0.8423 0.3324  0.02
Br 0.8423 0.1577 0.6676  0.02
Br 0.1577 0.3153 0.3324  0.02
Br 0.8423 0.6847 0.6676  0.02
Br 0.6847 0.8423 0.3324  0.02
Br 0.3153 0.1577 0.6676  0.02

Properties
SG   P-3m1, No. 164
Energy   -2.96 eV/atom
M_tot   1.01 μB per formula unit


# 2
First-principles (PBE) data for crystalline Tl3Cu2NiBr9 at its relaxed geometry, as listed in Alexandria.

Cell: 7.2641 7.2641 8.8488 Å, 90.00 90.00 120.00°
Fractional coordinates of all 15 atoms:
Tl 0.3333 0.6667 0.6727
Tl 0.0000 0.0000 0.0000
Tl 0.6667 0.3333 0.3273
Cu 0.3333 0.6667 0.1664
Cu 0.6667 0.3333 0.8336
Ni 0.0000 0.0000 0.5000
Br 0.8372 0.1628 0.6618
Br 0.8372 0.6744 0.6618
Br 0.3256 0.1628 0.6618
Br 0.6744 0.8372 0.3382
Br 0.1628 0.3256 0.3382
Br 0.1628 0.8372 0.3382
Br 0.5000 0.0000 0.0000
Br 0.0000 0.5000 0.0000
Br 0.5000 0.5000 0.0000

Properties
SG   P-3m1, No. 164
Energy   -2.89 eV/atom
M_tot   0.02 μB per formula unit


# 3
First-principles (PBE) data for crystalline NpCuBr2 at its relaxed geometry, as listed in Alexandria.

Cell: 3.6205 3.6205 9.1382 Å, 78.57 78.57 60.00°
Each line ends with the local moment (μB).
Fractional coordinates of all 4 atoms:
Np 0.0000 0.0000 0.0000  4.29
Cu 0.5000 0.5000 0.5000  -0.04
Br 0.1075 0.1075 0.6776  -0.03
Br 0.8925 0.8925 0.3224  -0.03

Properties
SG   R-3m, No. 166
Energy   -5.16 eV/atom
M_tot   4.75 μB per formula unit


# 4
First-principles (PBE) data for crystalline NpCuBr5 at its relaxed geometry, as listed in Alexandria.

Cell: 7.4289 7.4289 10.8957 Å, 67.32 67.32 86.84°
Fractional coordinates of all 14 atoms:
Np 0.0000 0.0000 0.0000
Np 0.0000 0.0000 0.5000
Cu 0.3811 0.6189 0.2500
Cu 0.6189 0.3811 0.7500
Br 0.2997 0.7825 0.0406
Br 0.3359 0.2585 0.3343
Br 0.9162 0.0838 0.2500
Br 0.2175 0.7003 0.4594
Br 0.7825 0.2997 0.5406
Br 0.7415 0.6641 0.1657
Br 0.2585 0.3359 0.8343
Br 0.0838 0.9162 0.7500
Br 0.6641 0.7415 0.6657
Br 0.7003 0.2175 0.9594

Properties
SG   C2/c, No. 15
Energy   -4.43 eV/atom
M_tot   0.02 μB per formula unit